The following is a PBE-GGA calculation of MnGePSN after structural relaxation, from Alexandria via LeMat-Bulk.

Geometry as extended XYZ:
```
5
Lattice="3.0755 0.0152 0.0125 1.5132 4.7266 0.0065 1.5106 0.7359 5.3748" Properties=species:S:1:pos:R:3 pbc="T T T"
Mn 4.3506 3.6589 0.5266
Ge 2.8202 1.1070 1.9030
P 2.8098 0.7760 4.5273
S 4.3338 3.4449 4.5424
N 1.2776 2.2366 1.7533
```

- Raw total energy: -6.264 eV/atom
- Space-group type: No. 8
- E_form (uncorrected): 0.07 eV/atom
- Volume: 15.58 Å³ per atom
- Density of states at the Fermi level: 0.34 states/eV/atom